DFT (PBE) results for Ba6PI3O2 after structural relaxation.

Cell lengths 7.5139, 7.5139, 8.7009 Å; angles 98.32, 98.32, 120.01 degrees
Positions (direct):
Ba 0.9377 0.5789 0.8136
Ba 0.7022 0.7022 0.1834
Ba 0.0623 0.4211 0.1864
Ba 0.5789 0.9377 0.8136
Ba 0.2978 0.2978 0.8166
Ba 0.4211 0.0623 0.1864
P 0.0000 0.0000 0.0000
I 0.1593 0.8407 0.5000
I 0.8407 0.1593 0.5000
I 0.5000 0.5000 0.5000
O 0.3325 0.6675 0.0000
O 0.6675 0.3325 0.0000

Computed properties:
N(E_F) ... 5.2 states/eV/f.u.
Energy relative to the elements, uncorrected ... -20.237 eV/f.u.
Total DFT energy (no corrections) ... -4.312 eV per atom
Magnetic moment ... 0.000 μB per atom
Density ... 5.170 g/cm³